Entry 1:
5
Lattice="4.722 0.000 0.000 0.000 4.722 0.000 0.000 0.000 4.565" Properties=species:S:1:pos:R:3 comment="SCAN MgGaPS2, PBEsol geometry" final_energy_ry_per_atom=-0.7313 space_group="P4/mmm (123)" pbc="T T T"
Mg 0.000 0.000 0.000
Ga 2.361 2.361 2.282
P 2.361 2.361 0.000
S 0.000 2.361 2.282
S 2.361 0.000 2.282


Entry 2:
5
Lattice="5.390 0.000 0.000 0.000 5.390 0.000 0.000 0.000 5.390" Properties=species:S:1:pos:R:3 comment="SCAN MgGa3Pb, PBEsol geometry" formation_enthalpy_0k_kcal_per_mol_atoms=16.15 space_group="Pm-3m (221)" pbc="T T T"
Mg 0.000 0.000 0.000
Ga 0.000 2.695 2.695
Ga 2.695 0.000 2.695
Ga 2.695 2.695 0.000
Pb 2.695 2.695 2.695


Entry 3:
5
Lattice="-2.183 2.183 5.864 2.183 -2.183 5.864 2.183 2.183 -5.864" Properties=species:S:1:pos:R:3 comment="SCAN Mg2Ga2Pb, PBEsol geometry" formation_enthalpy_0k_kcal_per_mol_atoms=-0.43 space_group="I4/mmm (139)" relative_energy_mev_per_atom=90 pbc="T T T"
Mg 2.183 0.000 2.932
Mg 0.000 2.183 2.932
Ga 0.000 0.000 1.207
Ga 0.000 0.000 10.522
Pb 0.000 0.000 5.864


Entry 4:
10
Lattice="8.079 0.000 0.000 0.000 8.079 0.000 0.000 0.000 3.238" Properties=species:S:1:pos:R:3 comment="SCAN Mg2Ga2Pb, PBEsol geometry" formation_enthalpy_0k_kcal_per_mol_atoms=-2.51 space_group="P4/mbm (127)" relative_energy_mev_per_atom=0 pbc="T T T"
Mg 1.458 2.582 0.000
Mg 2.582 6.622 0.000
Mg 5.497 1.458 0.000
Mg 6.622 5.497 0.000
Ga 0.934 4.974 1.619
Ga 3.105 0.934 1.619
Ga 4.974 7.145 1.619
Ga 7.145 3.105 1.619
Pb 0.000 0.000 1.619
Pb 4.040 4.040 1.619


Entry 5:
10
Lattice="6.531 0.000 0.000 0.000 6.531 0.000 0.000 0.000 4.118" Properties=species:S:1:pos:R:3 comment="SCAN Mg2Ga2Pd, PBEsol geometry" formation_enthalpy_0k_kcal_per_mol_atoms=-9.83 space_group="P4/mbm (127)" pbc="T T T"
Mg 1.125 2.140 0.000
Mg 2.140 5.405 0.000
Mg 4.391 1.125 0.000
Mg 5.405 4.391 0.000
Ga 0.885 4.151 2.059
Ga 2.380 0.885 2.059
Ga 4.151 5.646 2.059
Ga 5.646 2.380 2.059
Pd 0.000 0.000 2.059
Pd 3.265 3.265 2.059


Entry 6:
4
Lattice="0.000 3.689 3.689 3.689 0.000 3.689 3.689 3.689 0.000" Properties=species:S:1:pos:R:3 comment="SCAN Pm2MgGa, PBEsol geometry" formation_enthalpy_0k_kcal_per_mol_atoms=-8.94 space_group="Fm-3m (225)" pbc="T T T"
Pm 1.844 1.844 1.844
Pm 5.533 5.533 5.533
Mg 0.000 0.000 0.000
Ga 3.689 3.689 3.689


Entry 7:
5
Lattice="-1.933 1.933 6.081 1.933 -1.933 6.081 1.933 1.933 -6.081" Properties=species:S:1:pos:R:3 comment="SCAN Mg2GaPt2, PBEsol geometry" formation_enthalpy_0k_kcal_per_mol_atoms=-8.76 space_group="I4/mmm (139)" pbc="T T T"
Mg 1.933 0.000 3.041
Mg 0.000 1.933 3.041
Ga 0.000 0.000 0.000
Pt 0.000 0.000 4.804
Pt 0.000 0.000 7.359


Entry 8:
10
Lattice="6.554 0.000 0.000 0.000 6.554 0.000 0.000 0.000 3.979" Properties=species:S:1:pos:R:3 comment="SCAN Mg2GaPt2, PBEsol geometry" formation_enthalpy_0k_kcal_per_mol_atoms=-19.04 space_group="P4/mbm (127)" pbc="T T T"
Mg 1.038 2.239 0.000
Mg 2.239 5.516 0.000
Mg 4.316 1.038 0.000
Mg 5.516 4.316 0.000
Ga 0.000 0.000 1.990
Ga 3.277 3.277 1.990
Pt 0.968 4.245 1.990
Pt 2.310 0.968 1.990
Pt 4.245 5.587 1.990
Pt 5.587 2.310 1.990


Please write out number 5 again, unchanged.
10
Lattice="6.531 0.000 0.000 0.000 6.531 0.000 0.000 0.000 4.118" Properties=species:S:1:pos:R:3 comment="SCAN Mg2Ga2Pd, PBEsol geometry" formation_enthalpy_0k_kcal_per_mol_atoms=-9.83 space_group="P4/mbm (127)" pbc="T T T"
Mg 1.125 2.140 0.000
Mg 2.140 5.405 0.000
Mg 4.391 1.125 0.000
Mg 5.405 4.391 0.000
Ga 0.885 4.151 2.059
Ga 2.380 0.885 2.059
Ga 4.151 5.646 2.059
Ga 5.646 2.380 2.059
Pd 0.000 0.000 2.059
Pd 3.265 3.265 2.059